# 1
# Li2PbW | Alexandria via LeMat-Bulk | PBE-GGA | relaxed
data_Li2PbW
_cell_length_a 3.038
_cell_length_b 4.829
_cell_length_c 4.956
_cell_angle_alpha 90.00
_cell_angle_beta 90.00
_cell_angle_gamma 90.00
_space_group_name_H-M_alt 'P 1'
_space_group_IT_number 1
loop_
_space_group_symop_operation_xyz
'x,y,z'
loop_
_atom_site_label
_atom_site_type_symbol
_atom_site_fract_x
_atom_site_fract_y
_atom_site_fract_z
W1 W 0.000 0.500 0.500
Li1 Li 0.000 0.000 0.000
Li2 Li 0.500 0.500 0.000
Pb1 Pb 0.500 0.000 0.500
# * DFT formation energy: 0.529 eV/atom
# * space-group type: Pmmm, No. 47
# * crystal system: orthorhombic

=====

# 2
# Sr2LaCu | Alexandria via LeMat-Bulk | PBE-GGA | relaxed
data_Sr2LaCu
_cell_length_a 9.491
_cell_length_b 9.491
_cell_length_c 4.586
_cell_angle_alpha 76.03
_cell_angle_beta 76.03
_cell_angle_gamma 22.85
_space_group_name_H-M_alt 'P 1'
_space_group_IT_number 1
loop_
_space_group_symop_operation_xyz
'x,y,z'
loop_
_atom_site_label
_atom_site_type_symbol
_atom_site_fract_x
_atom_site_fract_y
_atom_site_fract_z
Sr1 Sr 0.414 0.414 0.586
Sr2 Sr 0.086 0.086 0.914
La1 La 0.250 0.250 0.250
Cu1 Cu 0.750 0.750 0.750
# * DFT formation energy: 0.111 eV/atom
# * space-group type: Immm, No. 71
# * crystal system: orthorhombic

=====

# 3
# AcLuThIn | Alexandria via LeMat-Bulk | PBE-GGA | relaxed
data_AcLuThIn
_cell_length_a 5.607
_cell_length_b 5.607
_cell_length_c 5.607
_cell_angle_alpha 60.00
_cell_angle_beta 60.00
_cell_angle_gamma 60.00
_space_group_name_H-M_alt 'P 1'
_space_group_IT_number 1
loop_
_space_group_symop_operation_xyz
'x,y,z'
loop_
_atom_site_label
_atom_site_type_symbol
_atom_site_fract_x
_atom_site_fract_y
_atom_site_fract_z
Lu1 Lu 0.500 0.500 0.500
In1 In 0.250 0.250 0.250
Ac1 Ac 0.750 0.750 0.750
Th1 Th 0.000 0.000 0.000
# * DFT formation energy: 0.056 eV/atom
# * space-group type: F-43m, No. 216
# * crystal system: cubic

=====

# 4
# RbScBr | Alexandria via LeMat-Bulk | PBE-GGA | relaxed
data_RbScBr
_cell_length_a 3.619
_cell_length_b 7.132
_cell_length_c 8.770
_cell_angle_alpha 94.43
_cell_angle_beta 101.93
_cell_angle_gamma 90.14
_space_group_name_H-M_alt 'P 1'
_space_group_IT_number 1
loop_
_space_group_symop_operation_xyz
'x,y,z'
loop_
_atom_site_label
_atom_site_type_symbol
_atom_site_fract_x
_atom_site_fract_y
_atom_site_fract_z
Rb1 Rb 0.840 0.515 0.782
Rb2 Rb 0.696 0.989 0.474
Br1 Br 0.170 0.562 0.437
Br2 Br 0.485 0.773 0.071
Sc1 Sc 0.548 0.405 0.195
Sc2 Sc 0.966 0.088 0.033
# * space-group type: P1, No. 1
# * crystal system: triclinic
# * energy relative to the elements, uncorrected: -0.55 eV/atom

=====

Copy entry 4 word for word.
# RbScBr | Alexandria via LeMat-Bulk | PBE-GGA | relaxed
data_RbScBr
_cell_length_a 3.619
_cell_length_b 7.132
_cell_length_c 8.770
_cell_angle_alpha 94.43
_cell_angle_beta 101.93
_cell_angle_gamma 90.14
_space_group_name_H-M_alt 'P 1'
_space_group_IT_number 1
loop_
_space_group_symop_operation_xyz
'x,y,z'
loop_
_atom_site_label
_atom_site_type_symbol
_atom_site_fract_x
_atom_site_fract_y
_atom_site_fract_z
Rb1 Rb 0.840 0.515 0.782
Rb2 Rb 0.696 0.989 0.474
Br1 Br 0.170 0.562 0.437
Br2 Br 0.485 0.773 0.071
Sc1 Sc 0.548 0.405 0.195
Sc2 Sc 0.966 0.088 0.033
# * space-group type: P1, No. 1
# * crystal system: triclinic
# * energy relative to the elements, uncorrected: -0.55 eV/atom

=====

Copy entry 3 word for word.
# AcLuThIn | Alexandria via LeMat-Bulk | PBE-GGA | relaxed
data_AcLuThIn
_cell_length_a 5.607
_cell_length_b 5.607
_cell_length_c 5.607
_cell_angle_alpha 60.00
_cell_angle_beta 60.00
_cell_angle_gamma 60.00
_space_group_name_H-M_alt 'P 1'
_space_group_IT_number 1
loop_
_space_group_symop_operation_xyz
'x,y,z'
loop_
_atom_site_label
_atom_site_type_symbol
_atom_site_fract_x
_atom_site_fract_y
_atom_site_fract_z
Lu1 Lu 0.500 0.500 0.500
In1 In 0.250 0.250 0.250
Ac1 Ac 0.750 0.750 0.750
Th1 Th 0.000 0.000 0.000
# * DFT formation energy: 0.056 eV/atom
# * space-group type: F-43m, No. 216
# * crystal system: cubic